14
Lattice="6.7742 -3.3184 0.0000 6.7742 3.3184 0.0000 -0.8912 0.0000 6.7297" Properties=species:S:1:pos:R:3 comment="BaFeBrF4, optimized geometry, DFT GGA+U" final_energy_ev_per_cell=-69.9 spacegroup=C2/m vol_a3_per_cell=302.56 pbc="T T T"
Ba 2.8713 0.0000 1.2596
Ba 9.7860 0.0000 5.4701
Fe 0.7541 0.0000 4.4971
Fe 11.9031 0.0000 2.2326
Br 5.2132 0.0000 3.7307
Br 7.4440 0.0000 2.9990
F 0.3586 0.0000 2.3376
F 4.6626 1.8913 0.7989
F 2.6739 0.0000 3.9267
F 7.9947 1.8913 5.9307
F 4.6626 -1.8913 0.7989
F 9.9833 0.0000 2.8029
F 7.9947 -1.8913 5.9307
F 12.2987 0.0000 4.3920